Entry 1:
KCd2SiRh | PBE-GGA | optimized geometry

The space group is P4/mmm (No. 123) and the conventional cell measures 5.3045, 5.3045 and 4.5747 Å, with angles of 90.00, 90.00 and 90.00 degrees. The asymmetric unit holds K at (0.0000, 0.0000, 0.0000), Cd at (0.0000, 0.5000, 0.5000), Si at (0.5000, 0.5000, 0.0000) and Rh at (0.5000, 0.5000, 0.5000).

The calculated total energy is -3.309 eV per atom. Its energy relative to the elements, uncorrected is -16.3 kJ/mol of atoms.

Entry 2:
KCd2SnRh | PBE-GGA | optimized geometry

The space group is P4/mmm (No. 123) and the conventional cell measures 5.3255, 5.3255 and 5.0488 Å, with angles of 90.00, 90.00 and 90.00 degrees. The asymmetric unit holds K at (0.0000, 0.0000, 0.0000), Cd at (0.0000, 0.5000, 0.5000), Sn at (0.5000, 0.5000, 0.0000) and Rh at (0.5000, 0.5000, 0.5000).

The calculated total energy is -3.062 eV per atom.